(w)
Computed, not measured: crystalline LaY2Ta at its relaxed geometry at the PBE level of DFT.

Space-group type: P4mm
Total magnetization (μB per formula unit): 0.00

Cell lengths 3.3114, 3.3114, 10.4555 Å; angles 90.00, 90.00, 90.00 degrees
Fractional positions:
La (0.0000, 0.0000, 0.0000)
Y (0.0000, 0.0000, 0.4329)
Y (0.5000, 0.5000, 0.7095)
Ta (0.5000, 0.5000, 0.2252)

---

(x)
Computed, not measured: crystalline LaY2Ta at its relaxed geometry at the PBE level of DFT.

Space-group type: P4/mmm
Total magnetization (μB per formula unit): 0.00

Cell lengths 4.7744, 4.7744, 4.9023 Å; angles 90.00, 90.00, 90.00 degrees
Fractional positions:
La (0.0000, 0.0000, 0.0000)
Y (0.0000, 0.5000, 0.5000)
Y (0.5000, 0.0000, 0.5000)
Ta (0.5000, 0.5000, 0.0000)

---

Computed stability ranking, most favorable first: (w), (x)

---

(w)
Computed, not measured: crystalline LaY2Ta at its relaxed geometry at the PBE level of DFT.

Space-group type: F-43m
Total magnetization (μB per formula unit): 1.30

Cell lengths 5.4081, 5.4081, 5.4081 Å; angles 60.00, 60.00, 60.00 degrees
Fractional positions:
La (0.0000, 0.0000, 0.0000)
Y (0.5000, 0.5000, 0.5000)
Y (0.7500, 0.7500, 0.7500)
Ta (0.2500, 0.2500, 0.2500)

---

(x)
Computed, not measured: crystalline LaY2Ta at its relaxed geometry at the PBE level of DFT.

Space-group type: C2/m
Total magnetization (μB per formula unit): 0.00

Cell lengths 5.8402, 5.8402, 6.1115 Å; angles 97.96, 97.96, 32.89 degrees
Fractional positions:
La (0.0000, 0.0000, 0.0000)
Y (0.2350, 0.2350, 0.7288)
Y (0.7650, 0.7650, 0.2712)
Ta (0.5000, 0.5000, 0.5000)

---

(y)
Computed, not measured: crystalline LaY2Ta at its relaxed geometry at the PBE level of DFT.

Space-group type: P4/mmm
Total magnetization (μB per formula unit): 0.00

Cell lengths 3.3196, 3.3196, 10.4524 Å; angles 90.00, 90.00, 90.00 degrees
Fractional positions:
La (0.0000, 0.0000, 0.0000)
Y (0.5000, 0.5000, 0.2930)
Y (0.5000, 0.5000, 0.7070)
Ta (0.0000, 0.0000, 0.5000)

---

Computed stability ranking, most favorable first: (y), (x), (w)

---

(w)
Computed, not measured: crystalline LaY3Ta at its relaxed geometry at the PBE level of DFT.

Space-group type: Pm-3m
Total magnetization (μB per formula unit): 0.00

Cell lengths 5.4121, 5.4121, 5.4121 Å; angles 90.00, 90.00, 90.00 degrees
Fractional positions:
La (0.0000, 0.0000, 0.0000)
Y (0.0000, 0.0000, 0.5000)
Y (0.0000, 0.5000, 0.0000)
Y (0.5000, 0.0000, 0.0000)
Ta (0.5000, 0.5000, 0.5000)

---

(x)
Computed, not measured: crystalline LaY3Ta at its relaxed geometry at the PBE level of DFT.

Space-group type: Pm-3m
Total magnetization (μB per formula unit): 0.00

Cell lengths 5.5793, 5.5793, 5.5793 Å; angles 90.00, 90.00, 90.00 degrees
Fractional positions:
La (0.0000, 0.0000, 0.0000)
Y (0.0000, 0.5000, 0.5000)
Y (0.5000, 0.0000, 0.5000)
Y (0.5000, 0.5000, 0.0000)
Ta (0.5000, 0.5000, 0.5000)

---

Computed stability ranking, most favorable first: (x), (w)

---

(w)
Computed, not measured: crystalline La2Y2Ta at its relaxed geometry at the PBE level of DFT.

Space-group type: I4/mmm
Total magnetization (μB per formula unit): 1.22

Cell lengths 9.5200, 9.5200, 9.5200 Å; angles 153.86, 153.86, 37.30 degrees
Fractional positions:
La (0.0847, 0.0847, 0.0000)
La (0.9153, 0.9153, 0.0000)
Y (0.2500, 0.7500, 0.5000)
Y (0.7500, 0.2500, 0.5000)
Ta (0.5000, 0.5000, 0.0000)

---

(x)
Computed, not measured: crystalline La2Y2Ta at its relaxed geometry at the PBE level of DFT.

Space-group type: P4/mbm
Total magnetization (μB per formula unit): 0.00

Cell lengths 7.5453, 7.5453, 5.3610 Å; angles 90.00, 90.00, 90.00 degrees
Fractional positions:
La (0.1433, 0.3567, 0.0000)
La (0.3567, 0.8567, 0.0000)
La (0.6433, 0.1433, 0.0000)
La (0.8567, 0.6433, 0.0000)
Y (0.1733, 0.6733, 0.5000)
Y (0.3267, 0.1733, 0.5000)
Y (0.6733, 0.8267, 0.5000)
Y (0.8267, 0.3267, 0.5000)
Ta (0.0000, 0.0000, 0.0000)
Ta (0.5000, 0.5000, 0.0000)

---

Computed stability ranking, most favorable first: (x), (w)

---

(w)
Computed, not measured: crystalline LaTaZn2 at its relaxed geometry at the PBE level of DFT.

Space-group type: F-43m
Total magnetization (μB per formula unit): 1.92

Cell lengths 4.9058, 4.9058, 4.9058 Å; angles 60.00, 60.00, 60.00 degrees
Fractional positions:
La (0.0000, 0.0000, 0.0000)
Ta (0.2500, 0.2500, 0.2500)
Zn (0.5000, 0.5000, 0.5000)
Zn (0.7500, 0.7500, 0.7500)

---

(x)
Computed, not measured: crystalline LaTaZn2 at its relaxed geometry at the PBE level of DFT.

Space-group type: I-4m2
Total magnetization (μB per formula unit): 0.00

Cell lengths 5.5345, 5.5345, 5.5345 Å; angles 135.14, 135.14, 65.31 degrees
Fractional positions:
La (0.0000, 0.0000, 0.0000)
Ta (0.2500, 0.7500, 0.5000)
Zn (0.5000, 0.5000, 0.0000)
Zn (0.7500, 0.2500, 0.5000)

---

Computed stability ranking, most favorable first: (x), (w)

---

(w)
Computed, not measured: crystalline LaTaZn2 at its relaxed geometry at the PBE level of DFT.

Space-group type: Pm
Total magnetization (μB per formula unit): 0.00

Cell lengths 3.1636, 4.3249, 6.2856 Å; angles 90.00, 104.50, 90.00 degrees
Fractional positions:
La (0.0000, 0.0000, 0.0000)
Ta (0.6850, 0.5000, 0.3676)
Zn (0.2524, 0.0000, 0.5009)
Zn (0.3709, 0.5000, 0.7416)

---

(x)
Computed, not measured: crystalline LaTaZn2 at its relaxed geometry at the PBE level of DFT.

Space-group type: R3m
Total magnetization (μB per formula unit): 0.00

Cell lengths 9.9509, 9.9509, 9.9509 Å; angles 18.03, 18.03, 18.03 degrees
Fractional positions:
La (0.0000, 0.0000, 0.0000)
Ta (0.2381, 0.2381, 0.2381)
Zn (0.4970, 0.4970, 0.4970)
Zn (0.7615, 0.7615, 0.7615)

---

(y)
Computed, not measured: crystalline LaTaZn2 at its relaxed geometry at the PBE level of DFT.

Space-group type: R-3m
Total magnetization (μB per formula unit): 0.53

Cell lengths 10.0046, 10.0046, 10.0046 Å; angles 17.87, 17.87, 17.87 degrees
Fractional positions:
La (0.0000, 0.0000, 0.0000)
Ta (0.5000, 0.5000, 0.5000)
Zn (0.2401, 0.2401, 0.2401)
Zn (0.7599, 0.7599, 0.7599)

---

(z)
Computed, not measured: crystalline LaTaZn2 at its relaxed geometry at the PBE level of DFT.

Space-group type: P4/mmm
Total magnetization (μB per formula unit): 0.00

Cell lengths 3.0311, 3.0311, 8.5810 Å; angles 90.00, 90.00, 90.00 degrees
Fractional positions:
La (0.0000, 0.0000, 0.0000)
Ta (0.0000, 0.0000, 0.5000)
Zn (0.5000, 0.5000, 0.2849)
Zn (0.5000, 0.5000, 0.7151)

---

Computed stability ranking, most favorable first: (z), (w), (y), (x)

---

(w)
Computed, not measured: crystalline LaTaZn2 at its relaxed geometry at the PBE level of DFT.

Space-group type: P4mm
Total magnetization (μB per formula unit): 0.00

Cell lengths 3.0689, 3.0689, 8.4827 Å; angles 90.00, 90.00, 90.00 degrees
Fractional positions:
La (0.0000, 0.0000, 0.0000)
Ta (0.5000, 0.5000, 0.3084)
Zn (0.0000, 0.0000, 0.5216)
Zn (0.5000, 0.5000, 0.7052)

---

(x)
Computed, not measured: crystalline LaTaZn2 at its relaxed geometry at the PBE level of DFT.

Space-group type: P4/mmm
Total magnetization (μB per formula unit): 0.00

Cell lengths 4.4317, 4.4317, 4.1927 Å; angles 90.00, 90.00, 90.00 degrees
Fractional positions:
La (0.0000, 0.0000, 0.0000)
Ta (0.5000, 0.5000, 0.0000)
Zn (0.0000, 0.5000, 0.5000)
Zn (0.5000, 0.0000, 0.5000)

---

(y)
Computed, not measured: crystalline LaTaZn2 at its relaxed geometry at the PBE level of DFT.

Space-group type: Pmmm
Total magnetization (μB per formula unit): 0.00

Cell lengths 3.0359, 3.8985, 6.8754 Å; angles 90.00, 90.00, 90.00 degrees
Fractional positions:
La (0.0000, 0.0000, 0.0000)
Ta (0.0000, 0.0000, 0.5000)
Zn (0.5000, 0.5000, 0.3047)
Zn (0.5000, 0.5000, 0.6953)

---

(z)
Computed, not measured: crystalline LaTaZn2 at its relaxed geometry at the PBE level of DFT.

Space-group type: C2/m
Total magnetization (μB per formula unit): 0.00

Cell lengths 5.1401, 5.1401, 5.7630 Å; angles 99.83, 99.83, 34.88 degrees
Fractional positions:
La (0.0000, 0.0000, 0.0000)
Ta (0.5000, 0.5000, 0.5000)
Zn (0.2370, 0.2370, 0.6780)
Zn (0.7630, 0.7630, 0.3220)

---

Computed stability ranking, most favorable first: (y), (w), (z), (x)

---

(w)
Computed, not measured: crystalline LaTaZn2 at its relaxed geometry at the PBE level of DFT.

Space-group type: I4/mmm
Total magnetization (μB per formula unit): 0.00

Cell lengths 5.1689, 5.1689, 5.1689 Å; angles 128.75, 128.75, 75.41 degrees
Fractional positions:
La (0.0000, 0.0000, 0.0000)
Ta (0.5000, 0.5000, 0.0000)
Zn (0.2500, 0.7500, 0.5000)
Zn (0.7500, 0.2500, 0.5000)

---

(x)
Computed, not measured: crystalline LaTaZn2 at its relaxed geometry at the PBE level of DFT.

Space-group type: I-42d
Total magnetization (μB per formula unit): 0.00

Cell lengths 10.0495, 10.0495, 10.0495 Å; angles 153.95, 153.95, 37.17 degrees
Fractional positions:
La (0.0000, 0.0000, 0.0000)
La (0.7500, 0.2500, 0.5000)
Ta (0.2500, 0.7500, 0.5000)
Ta (0.5000, 0.5000, 0.0000)
Zn (0.2621, 0.6250, 0.1371)
Zn (0.3750, 0.5121, 0.6371)
Zn (0.4879, 0.1250, 0.8629)
Zn (0.8750, 0.7379, 0.3629)

---

(y)
Computed, not measured: crystalline LaTaZn2 at its relaxed geometry at the PBE level of DFT.

Space-group type: Cm
Total magnetization (μB per formula unit): 0.00

Cell lengths 5.8656, 5.8656, 5.2740 Å; angles 116.63, 116.63, 30.14 degrees
Fractional positions:
La (0.0000, 0.0000, 0.0000)
Ta (0.7722, 0.7722, 0.2700)
Zn (0.2249, 0.2249, 0.7226)
Zn (0.5119, 0.5119, 0.5120)

---

Computed stability ranking, most favorable first: (w), (y), (x)

---

(w)
Computed, not measured: crystalline LaTaZn at its relaxed geometry at the PBE level of DFT.

Space-group type: F-43m
Total magnetization (μB per formula unit): 0.00

Cell lengths 4.7354, 4.7354, 4.7354 Å; angles 60.00, 60.00, 60.00 degrees
Fractional positions:
La (0.0000, 0.0000, 0.0000)
Ta (0.5000, 0.5000, 0.5000)
Zn (0.2500, 0.2500, 0.2500)

---

(x)
Computed, not measured: crystalline LaTaZn at its relaxed geometry at the PBE level of DFT.

Space-group type: P3m1
Total magnetization (μB per formula unit): 0.00

Cell lengths 3.0948, 3.0948, 7.8744 Å; angles 90.00, 90.00, 120.00 degrees
Fractional positions:
La (0.0000, 0.0000, 0.0000)
Ta (0.6667, 0.3333, 0.3613)
Zn (0.3333, 0.6667, 0.6397)

---

Computed stability ranking, most favorable first: (x), (w)

---

(w)
Computed, not measured: crystalline La2ZrTa at its relaxed geometry at the PBE level of DFT.

Space-group type: P2/m
Total magnetization (μB per formula unit): 0.00

Cell lengths 3.1901, 5.1346, 6.4091 Å; angles 90.00, 90.40, 90.00 degrees
Fractional positions:
La (0.0028, 0.0000, 0.2588)
La (0.9972, 0.0000, 0.7412)
Zr (0.5000, 0.5000, 0.0000)
Ta (0.5000, 0.5000, 0.5000)

---

(x)
Computed, not measured: crystalline La2ZrTa at its relaxed geometry at the PBE level of DFT.

Space-group type: C2/m
Total magnetization (μB per formula unit): 0.00

Cell lengths 6.6030, 6.6030, 5.4907 Å; angles 114.42, 114.42, 28.71 degrees
Fractional positions:
La (0.2324, 0.2324, 0.2319)
La (0.7676, 0.7676, 0.7681)
Zr (0.0000, 0.0000, 0.5000)
Ta (0.5000, 0.5000, 0.0000)

---

Computed stability ranking, most favorable first: (w), (x)

---

(w)
Computed, not measured: crystalline La2ZrTa at its relaxed geometry at the PBE level of DFT.

Space-group type: Pm
Total magnetization (μB per formula unit): 0.00

Cell lengths 3.2814, 4.9665, 6.8187 Å; angles 90.00, 103.08, 90.00 degrees
Fractional positions:
La (0.0000, 0.0000, 0.0000)
La (0.3179, 0.5000, 0.6823)
Zr (0.5886, 0.0000, 0.4318)
Ta (0.7373, 0.5000, 0.2466)

---

(x)
Computed, not measured: crystalline La2ZrTa at its relaxed geometry at the PBE level of DFT.

Space-group type: Cmm2
Total magnetization (μB per formula unit): 0.00

Cell lengths 3.2078, 3.2078, 11.1956 Å; angles 90.00, 90.00, 112.27 degrees
Fractional positions:
La (0.0000, 0.0000, 0.0000)
La (0.5000, 0.5000, 0.3142)
Zr (0.5000, 0.5000, 0.7409)
Ta (0.0000, 0.0000, 0.5435)

---

Computed stability ranking, most favorable first: (x), (w)

---

(w)
Computed, not measured: crystalline La2ZrTa at its relaxed geometry at the PBE level of DFT.

Space-group type: Cm
Total magnetization (μB per formula unit): 0.00

Cell lengths 5.7614, 5.7614, 6.0499 Å; angles 99.41, 99.41, 32.55 degrees
Fractional positions:
La (0.0000, 0.0000, 0.0000)
La (0.2292, 0.2292, 0.7649)
Zr (0.4694, 0.4694, 0.4586)
Ta (0.7426, 0.7426, 0.2890)

---

(x)
Computed, not measured: crystalline La2ZrTa at its relaxed geometry at the PBE level of DFT.

Space-group type: R-3m
Total magnetization (μB per formula unit): 0.00

Cell lengths 11.1721, 11.1721, 11.1721 Å; angles 17.13, 17.13, 17.13 degrees
Fractional positions:
La (0.2467, 0.2467, 0.2467)
La (0.7533, 0.7533, 0.7533)
Zr (0.0000, 0.0000, 0.0000)
Ta (0.5000, 0.5000, 0.5000)

---

Computed stability ranking, most favorable first: (w), (x)